Here is an optimized crystal structure of RbNbHg from Alexandria. Energies are from PBE.

Output
ΔE_f = 255 meV per atom
density of states at the Fermi level = 1.99 states/eV/f.u.
density = 6.804 g/cm3

Cell lengths 3.555, 3.555, 14.642 Å; angles 91.25, 90.81, 90.00 degrees
Space group P-1 (No. 2)
Inequivalent atoms, fractional coordinates:
1 Rb 0.229 0.218 0.155
2 Nb 0.247 0.246 0.458
3 Hg 0.260 0.266 0.666


Here is an optimized crystal structure of RbNbHg from Alexandria. Energies are from PBE.

Output
ΔE_f = 619 meV per atom
density of states at the Fermi level = 2.56 states/eV/f.u.
density = 6.946 g/cm3

Cell lengths 7.692, 4.983, 9.454 Å; angles 90.00, 90.00, 90.00 degrees
Space group Pnma (No. 62)
Inequivalent atoms, fractional coordinates:
1 Rb 0.024 0.250 0.125
2 Nb 0.024 0.250 0.516
3 Hg 0.250 0.250 0.773


Here is an optimized crystal structure of RbNbHg from Alexandria. Energies are from PBE.

Output
ΔE_f = 522 meV per atom
density of states at the Fermi level = 1.36 states/eV/f.u.
density = 6.355 g/cm3

Cell lengths 11.476, 3.299, 10.462 Å; angles 90.00, 90.00, 90.00 degrees
Space group Pnma (No. 62)
Inequivalent atoms, fractional coordinates:
1 Rb 0.175 0.250 0.088
2 Nb 0.046 0.250 0.424
3 Hg 0.088 0.250 0.757